Entry 1:
Here is a geometry-optimized AcCeZnGa structure from Alexandria. Energies are from PBE.

abc: 7.5693 7.5693 7.5693
angles: 90.00 90.00 90.00
Closest atoms and distances in Å follow each position.
Space group F-43m (No. 216)
Asymmetric unit:
Ac  0.0000  0.0000  0.0000 x4  4 Zn 3.28, 4 Ga 3.28
Ce  0.0000  0.0000  0.5000 x4  4 Zn 3.28, 4 Ga 3.28
Zn  0.2500  0.2500  0.2500 x4  4 Ac 3.28, 4 Ce 3.28
Ga  0.2500  0.2500  0.7500 x4  4 Ac 3.28, 4 Ce 3.28

Properties
crystal system: cubic

=====

Entry 2:
Here is a geometry-optimized MnGe2Ir structure from Alexandria. Energies are from PBE.

abc: 2.9277 7.5890 5.2957
angles: 90.00 90.00 90.00
Closest atoms and distances in Å follow each position.
Space group Imm2 (No. 44)
Asymmetric unit:
Mn  0.0000  0.0000  0.0000 x2  6 Ge 2.55-2.57
Ge  0.0000  0.2524  0.3174 x4  3 Mn 2.55-2.57, 3 Ir 2.57
Ir  0.0000  0.5000  0.9866 x2  6 Ge 2.57

Properties
crystal system: orthorhombic

=====

Entry 3:
Here is a geometry-optimized PmPr8Er2 structure from Alexandria. Energies are from PBE.

abc: 9.2423 16.7285 6.0722
angles: 90.00 123.78 90.00
Closest atoms and distances in Å follow each position.
Space group C2/m (No. 12)
Asymmetric unit:
Pm  0.0000  0.0000  0.0000 x2  4 Pr 3.38-3.44
Pr  0.0000  0.2055  0.0000 x4  1 Pm 3.44, 2 Er 3.50, 6 Pr 3.68-3.77
Pr  0.0775  0.5000  0.7956 x4  3 Pr 3.04-3.31, 1 Pm 3.38
Pr  0.2175  0.1194  0.6810 x8  4 Pr 3.31-3.68, 2 Er 3.55-3.60
Er  0.0000  0.3102  0.5000 x4  10 Pr 3.50-3.88

Properties
crystal system: monoclinic
energy above the most stable polymorph in this dataset: 0.29 eV per formula unit

=====

Entry 4:
Here is a geometry-optimized Sm5DyAu6 structure from Alexandria. Energies are from PBE.

abc: 16.4660 7.2626 5.1969
angles: 90.00 108.35 90.00
Closest atoms and distances in Å follow each position.
Space group C2/m (No. 12)
Asymmetric unit:
Sm  0.0000  0.0000  0.0000 x2  8 Au 3.16-3.21
Sm  0.1658  0.0000  0.6657 x4  8 Au 3.19-3.21
Sm  0.1680  0.5000  0.6678 x4  8 Au 3.15-3.22
Dy  0.0000  0.5000  0.0000 x2  8 Au 3.11-3.13
Au  0.0000  0.2601  0.5000 x4  2 Dy 3.13, 6 Sm 3.15-3.21, 1 Au 3.48
Au  0.1633  0.2553  0.1628 x8  1 Dy 3.11, 7 Sm 3.15-3.22

Properties
crystal system: monoclinic

=====

Values for calculated formation energy, eV/atom, ordered as above
-0.293; -0.045; 0.132; -0.807
Values for energy, eV/atom, ordered as above
-3.878; -6.861; -4.605; -4.795